Density functional theory data (PBE) for a relaxed structure of Sm4Gd2N.

Output
Energy relative to the elements, uncorrected (eV per atom): -0.2213
Magnetic moment (μB per cell): 30.52

a = 4.9281 Å, b = 4.9281 Å, c = 17.6530 Å
α = 90.00°, β = 90.00°, γ = 90.00°
Fractional positions:
Sm 0.0000 0.0000 0.1350
Sm 0.0000 0.0000 0.8650
Sm 0.0000 0.5000 0.0000
Sm 0.0000 0.5000 0.5000
Sm 0.5000 0.0000 0.0000
Sm 0.5000 0.0000 0.5000
Sm 0.5000 0.5000 0.3650
Sm 0.5000 0.5000 0.6350
Gd 0.0000 0.0000 0.3329
Gd 0.0000 0.0000 0.6671
Gd 0.5000 0.5000 0.1671
Gd 0.5000 0.5000 0.8329
N 0.0000 0.0000 0.0000
N 0.5000 0.5000 0.5000